VASP calculation (PBE) on a relaxed CeTlPd6 crystal.

Calculated values
N(E_F) ... 2.670 states/eV/f.u.
Offset from the most stable computed form ... 0.000 eV/atom
Formation energy from the elements ... -551 meV/atom

Structure (extended XYZ):
```
8
Lattice="4.137 0.000 0.000 0.000 4.137 0.000 0.000 0.000 8.181" Properties=species:S:1:pos:R:3 pbc="T T T"
Pd 0.000 2.068 2.061
Pd 2.068 0.000 2.061
Pd 2.068 0.000 6.120
Pd 2.068 2.068 4.091
Pd 2.068 2.068 0.000
Pd 0.000 2.068 6.120
Tl 0.000 0.000 0.000
Ce 0.000 0.000 4.091
```